Sn6As5: optimized geometry, GGA-PBE.

Cell lengths 7.0970, 7.1290, 7.1841 Å; angles 119.75, 99.50, 70.58 degrees
With the nearest neighbours (Å) after each atom.
Element x y z (fractional)
Sn  0.7557  0.7380  0.0000  5 As 2.86-3.00
Sn  0.2443  0.2620  0.0000  5 As 2.86-3.00
Sn  0.7426  0.0859  0.6534  5 As 2.79-2.94
Sn  0.2574  0.5675  0.6534  5 As 2.79-2.94
Sn  0.2574  0.9141  0.3466  5 As 2.79-2.94
Sn  0.7426  0.4325  0.3466  5 As 2.79-2.94
As  0.5000  0.5000  0.0000  6 Sn 2.87-2.94
As  0.0000  0.6651  0.3303  6 Sn 2.86-2.93
As  0.0000  0.3349  0.6697  6 Sn 2.86-2.93
As  0.5000  0.8301  0.6602  6 Sn 2.79-3.00
As  0.5000  0.1699  0.3398  6 Sn 2.79-3.00

Values from the calculation:
final energy	-0.316	Ry per atom
formation energy from the elements	-0.05	eV/f.u.



Sn2As: optimized geometry, GGA-PBE.

Cell lengths 3.8109, 4.2403, 6.2241 Å; angles 90.00, 107.83, 90.00 degrees
With the nearest neighbours (Å) after each atom.
Element x y z (fractional)
Sn  0.0225  0.0000  0.0449  2 As 2.78
Sn  0.8291  0.5000  0.6582  2 As 2.65
As  0.1743  0.5000  0.3486  4 Sn 2.65-2.78

Values from the calculation:
final energy	-0.300	Ry per atom
formation energy from the elements	0.43	eV/f.u.